A plane-wave DFT calculation with PBE with a Hubbard U was carried out for FeSb2F after structural relaxation.

It has space group Fm-3m (No. 225), with a = 6.6415 Å, b = 6.6415 Å, c = 6.6415 Å, α = 90.00°, β = 90.00° and γ = 90.00°. The distinct sites, in fractional coordinates, are Fe at (0.0000, 0.0000, 0.0000), Sb at (0.2500, 0.2500, 0.2500) and F at (0.0000, 0.0000, 0.5000).

The value obtained for the density of states at the Fermi level is 1.2 states/eV/f.u. The value obtained for the raw total energy is -66.668 eV for the cell shown.